Entry 1:
Here is crystalline Nd2PuIr at its relaxed geometry from Alexandria. Energies are from GGA-PBE.

Cell lengths 10.773, 10.773, 10.773 Å; angles 20.59, 20.59, 20.59 degrees
Positions (direct):
Nd: 0.112 0.112 0.112
Nd: 0.888 0.888 0.888
Pu: 0.000 0.000 0.000
Ir: 0.500 0.500 0.500

E_form in meV per atom: 73

Entry 2:
Here is crystalline NdPuIr2 at its relaxed geometry from Alexandria. Energies are from GGA-PBE.

Cell lengths 3.461, 3.461, 7.108 Å; angles 90.00, 90.00, 90.00 degrees
Positions (direct):
Nd: 0.000 0.000 0.000
Pu: 0.000 0.000 0.500
Ir: 0.500 0.500 0.275
Ir: 0.500 0.500 0.725

E_form in meV per atom: -456

Entry 3:
Here is crystalline NdPu2Ir at its relaxed geometry from Alexandria. Energies are from GGA-PBE.

Cell lengths 14.860, 9.505, 5.996 Å; angles 90.00, 90.00, 90.00 degrees
Positions (direct):
Nd: 0.108 0.250 0.240
Nd: 0.143 0.750 0.978
Nd: 0.357 0.250 0.478
Nd: 0.392 0.750 0.740
Nd: 0.608 0.250 0.260
Nd: 0.643 0.750 0.522
Nd: 0.857 0.250 0.022
Nd: 0.892 0.750 0.760
Pu: 0.037 0.057 0.743
Pu: 0.037 0.443 0.743
Pu: 0.213 0.559 0.462
Pu: 0.213 0.941 0.462
Pu: 0.287 0.059 0.962
Pu: 0.287 0.441 0.962
Pu: 0.463 0.557 0.243
Pu: 0.463 0.943 0.243
Pu: 0.537 0.057 0.757
Pu: 0.537 0.443 0.757
Pu: 0.713 0.559 0.038
Pu: 0.713 0.941 0.038
Pu: 0.787 0.059 0.538
Pu: 0.787 0.441 0.538
Pu: 0.963 0.557 0.257
Pu: 0.963 0.943 0.257
Ir: 0.071 0.750 0.496
Ir: 0.179 0.250 0.733
Ir: 0.321 0.750 0.233
Ir: 0.429 0.250 0.996
Ir: 0.571 0.750 0.004
Ir: 0.679 0.250 0.767
Ir: 0.821 0.750 0.267
Ir: 0.929 0.250 0.504

E_form in meV per atom: -279
Energy above the lowest structure with this stoichiometry in meV/atom: 0

Entry 4:
Here is crystalline Nd3Pu2Ir4 at its relaxed geometry from Alexandria. Energies are from GGA-PBE.

Cell lengths 6.553, 6.553, 8.922 Å; angles 110.75, 110.75, 37.30 degrees
Positions (direct):
Nd: 0.000 0.000 0.000
Nd: 0.387 0.387 0.290
Nd: 0.613 0.613 0.710
Pu: 0.314 0.314 0.661
Pu: 0.686 0.686 0.339
Ir: 0.076 0.076 0.417
Ir: 0.288 0.288 0.942
Ir: 0.712 0.712 0.058
Ir: 0.924 0.924 0.583

E_form in meV per atom: -493

Entry 5:
Here is crystalline NdPu2Ir at its relaxed geometry from Alexandria. Energies are from GGA-PBE.

Cell lengths 10.063, 10.063, 10.063 Å; angles 21.44, 21.44, 21.44 degrees
Positions (direct):
Nd: 0.000 0.000 0.000
Pu: 0.109 0.109 0.109
Pu: 0.891 0.891 0.891
Ir: 0.500 0.500 0.500

E_form in meV per atom: 79
Energy above the lowest structure with this stoichiometry in meV/atom: 358

Entry 6:
Here is crystalline Nd2PuSi3Ir4 at its relaxed geometry from Alexandria. Energies are from GGA-PBE.

Cell lengths 4.184, 4.184, 10.806 Å; angles 90.00, 90.00, 90.00 degrees
Positions (direct):
Nd: 0.000 0.500 0.233
Nd: 0.500 0.000 0.767
Pu: 0.000 0.000 0.500
Si: 0.000 0.500 0.881
Si: 0.500 0.000 0.119
Si: 0.500 0.500 0.500
Ir: 0.000 0.000 0.000
Ir: 0.000 0.500 0.657
Ir: 0.500 0.000 0.343
Ir: 0.500 0.500 0.000

ΔE_f (raw) in kcal/mol of atoms: -20.23

Entry 7:
Here is crystalline NdPuZnIr at its relaxed geometry from Alexandria. Energies are from GGA-PBE.

Cell lengths 5.014, 5.014, 5.014 Å; angles 60.00, 60.00, 60.00 degrees
Positions (direct):
Nd: 0.000 0.000 0.000
Pu: 0.500 0.500 0.500
Zn: 0.750 0.750 0.750
Ir: 0.250 0.250 0.250

E_form in meV per atom: -334

Entry 8:
Here is crystalline RbNd2Ir at its relaxed geometry from Alexandria. Energies are from GGA-PBE.

Cell lengths 11.763, 11.763, 11.763 Å; angles 20.89, 20.89, 20.89 degrees
Positions (direct):
Rb: 0.000 0.000 0.000
Nd: 0.125 0.125 0.125
Nd: 0.875 0.875 0.875
Ir: 0.500 0.500 0.500

E_form in meV per atom: -264

Entry 9:
Here is crystalline Nd6IrRh2 at its relaxed geometry from Alexandria. Energies are from GGA-PBE.

Cell lengths 8.251, 8.251, 7.796 Å; angles 94.99, 94.99, 73.87 degrees
Positions (direct):
Nd: 0.115 0.115 0.365
Nd: 0.115 0.115 0.865
Nd: 0.189 0.551 0.405
Nd: 0.191 0.551 0.905
Nd: 0.449 0.809 0.595
Nd: 0.449 0.811 0.095
Nd: 0.551 0.189 0.905
Nd: 0.551 0.191 0.405
Nd: 0.809 0.449 0.095
Nd: 0.811 0.449 0.595
Nd: 0.885 0.885 0.135
Nd: 0.885 0.885 0.635
Ir: 0.499 0.501 0.250
Ir: 0.501 0.499 0.750
Rh: 0.267 0.267 0.141
Rh: 0.267 0.267 0.641
Rh: 0.733 0.733 0.359
Rh: 0.733 0.733 0.859

E_form in meV per atom: -428
Energy above the lowest structure with this stoichiometry in meV/atom: 68

Entry 10:
Here is crystalline Nd8Ir2Rh at its relaxed geometry from Alexandria. Energies are from GGA-PBE.

Cell lengths 9.284, 9.284, 7.013 Å; angles 97.89, 97.89, 31.53 degrees
Positions (direct):
Nd: 0.038 0.038 0.278
Nd: 0.204 0.204 0.839
Nd: 0.334 0.334 0.536
Nd: 0.412 0.412 0.065
Nd: 0.588 0.588 0.935
Nd: 0.666 0.666 0.464
Nd: 0.796 0.796 0.161
Nd: 0.962 0.962 0.722
Ir: 0.206 0.206 0.241
Ir: 0.794 0.794 0.759
Rh: 0.500 0.500 0.500

E_form in meV per atom: -393
Energy above the lowest structure with this stoichiometry in meV/atom: 0

Entry 11:
Here is crystalline Nd5Ir2Rh at its relaxed geometry from Alexandria. Energies are from GGA-PBE.

Cell lengths 8.907, 8.907, 8.907 Å; angles 128.74, 128.74, 75.42 degrees
Positions (direct):
Nd: 0.000 0.000 0.000
Nd: 0.032 0.532 0.845
Nd: 0.187 0.032 0.500
Nd: 0.313 0.813 0.845
Nd: 0.468 0.313 0.500
Nd: 0.500 0.500 0.000
Nd: 0.532 0.687 0.500
Nd: 0.687 0.187 0.155
Nd: 0.813 0.968 0.500
Nd: 0.968 0.468 0.155
Ir: 0.129 0.371 0.500
Ir: 0.371 0.871 0.242
Ir: 0.629 0.129 0.758
Ir: 0.871 0.629 0.500
Rh: 0.250 0.250 0.000
Rh: 0.750 0.750 0.000

E_form in meV per atom: -564

Entry 12:
Here is crystalline Nd8Ir2Rh at its relaxed geometry from Alexandria. Energies are from GGA-PBE.

Cell lengths 7.671, 7.671, 6.410 Å; angles 101.03, 101.03, 112.58 degrees
Positions (direct):
Nd: 0.000 0.000 0.000
Nd: 0.012 0.277 0.587
Nd: 0.155 0.565 0.194
Nd: 0.277 0.012 0.587
Nd: 0.438 0.703 0.815
Nd: 0.565 0.155 0.194
Nd: 0.703 0.438 0.815
Nd: 0.714 0.714 0.387
Ir: 0.042 0.669 0.694
Ir: 0.669 0.042 0.694
Rh: 0.351 0.351 0.011

E_form in meV per atom: -354
Energy above the lowest structure with this stoichiometry in meV/atom: 40

Entry 13:
Here is crystalline Nd4Ir3Rh at its relaxed geometry from Alexandria. Energies are from GGA-PBE.

Cell lengths 4.057, 4.237, 10.928 Å; angles 90.00, 90.00, 90.00 degrees
Positions (direct):
Nd: 0.000 0.000 0.000
Nd: 0.000 0.500 0.289
Nd: 0.500 0.000 0.501
Nd: 0.500 0.500 0.790
Ir: 0.000 0.000 0.721
Ir: 0.000 0.500 0.567
Ir: 0.500 0.500 0.067
Rh: 0.500 0.000 0.226

E_form in meV per atom: -633

Entry 14:
Here is crystalline Nd2Ir2Rh at its relaxed geometry from Alexandria. Energies are from GGA-PBE.

Cell lengths 5.586, 5.586, 5.586 Å; angles 131.52, 122.01, 78.88 degrees
Positions (direct):
Nd: 0.200 0.200 0.000
Nd: 0.800 0.800 0.000
Ir: 0.240 0.500 0.740
Ir: 0.760 0.500 0.260
Rh: 0.500 0.000 0.500

E_form in meV per atom: -610

Entry 15:
Here is crystalline Nd4Ir2Rh at its relaxed geometry from Alexandria. Energies are from GGA-PBE.

Cell lengths 7.690, 7.690, 7.690 Å; angles 109.56, 109.56, 109.30 degrees
Positions (direct):
Nd: 0.001 0.376 0.249
Nd: 0.126 0.251 0.749
Nd: 0.127 0.752 0.751
Nd: 0.248 0.999 0.374
Nd: 0.502 0.377 0.251
Nd: 0.623 0.874 0.126
Nd: 0.624 0.873 0.626
Nd: 0.749 0.498 0.874
Ir: 0.248 0.625 0.123
Ir: 0.375 0.498 0.623
Ir: 0.502 0.125 0.877
Ir: 0.875 0.752 0.377
Rh: 0.000 0.000 0.000
Rh: 0.750 0.250 0.500

E_form in meV per atom: -606

Entry 16:
Here is crystalline Nd8IrRh5 at its relaxed geometry from Alexandria. Energies are from GGA-PBE.

Cell lengths 7.685, 7.685, 7.685 Å; angles 109.44, 109.44, 109.54 degrees
Positions (direct):
Nd: 0.255 0.506 0.129
Nd: 0.373 0.121 0.369
Nd: 0.377 0.126 0.871
Nd: 0.494 0.623 0.749
Nd: 0.752 0.004 0.631
Nd: 0.874 0.745 0.251
Nd: 0.879 0.248 0.252
Nd: 0.996 0.627 0.748
Ir: 0.250 0.750 0.500
Rh: 0.000 0.000 0.000
Rh: 0.123 0.249 0.626
Rh: 0.503 0.877 0.126
Rh: 0.623 0.497 0.374
Rh: 0.751 0.377 0.874

E_form in meV per atom: -623

Entry 17:
Here is crystalline Nd3Ir7Rh2 at its relaxed geometry from Alexandria. Energies are from GGA-PBE.

Cell lengths 9.394, 9.394, 9.394 Å; angles 33.15, 33.15, 33.15 degrees
Positions (direct):
Nd: 0.000 0.000 0.000
Nd: 0.140 0.140 0.140
Nd: 0.860 0.860 0.860
Ir: 0.083 0.581 0.581
Ir: 0.419 0.419 0.917
Ir: 0.419 0.917 0.419
Ir: 0.500 0.500 0.500
Ir: 0.581 0.083 0.581
Ir: 0.581 0.581 0.083
Ir: 0.917 0.419 0.419
Rh: 0.333 0.333 0.333
Rh: 0.667 0.667 0.667

E_form in meV per atom: -540

Entry 18:
Here is crystalline Nd4IrRh at its relaxed geometry from Alexandria. Energies are from GGA-PBE.

Cell lengths 7.077, 7.079, 7.080 Å; angles 90.00, 90.19, 90.00 degrees
Positions (direct):
Nd: 0.167 0.167 0.168
Nd: 0.167 0.333 0.668
Nd: 0.332 0.668 0.166
Nd: 0.332 0.832 0.666
Nd: 0.668 0.168 0.334
Nd: 0.668 0.332 0.834
Nd: 0.833 0.667 0.332
Nd: 0.833 0.833 0.832
Ir: 0.000 0.000 0.500
Ir: 0.000 0.500 0.000
Rh: 0.500 0.000 0.000
Rh: 0.500 0.500 0.500

E_form in meV per atom: -498
Energy above the lowest structure with this stoichiometry in meV/atom: 0

Entry 19:
Here is crystalline NdIr2Rh4 at its relaxed geometry from Alexandria. Energies are from GGA-PBE.

Cell lengths 5.387, 5.387, 5.225 Å; angles 118.95, 118.95, 76.45 degrees
Positions (direct):
Nd: 0.000 0.000 0.000
Ir: 0.498 0.498 0.248
Ir: 0.501 0.501 0.752
Rh: 0.000 0.397 0.698
Rh: 0.000 0.603 0.302
Rh: 0.397 0.000 0.698
Rh: 0.603 0.000 0.302

E_form in meV per atom: -244

Entry 20:
Here is crystalline Nd2IrRh3 at its relaxed geometry from Alexandria. Energies are from GGA-PBE.

Cell lengths 5.925, 5.925, 5.925 Å; angles 131.55, 126.27, 75.24 degrees
Positions (direct):
Nd: 0.186 0.186 0.000
Nd: 0.814 0.814 0.000
Ir: 0.500 0.500 0.000
Rh: 0.000 0.500 0.500
Rh: 0.363 0.863 0.500
Rh: 0.637 0.137 0.500

E_form in meV per atom: -162
Energy above the lowest structure with this stoichiometry in meV/atom: 505

Entry 21:
Here is crystalline Nd3IrRh at its relaxed geometry from Alexandria. Energies are from GGA-PBE.

Cell lengths 8.857, 7.469, 8.437 Å; angles 90.00, 106.56, 90.00 degrees
Positions (direct):
Nd: 0.053 0.001 0.216
Nd: 0.053 0.499 0.716
Nd: 0.293 0.655 0.109
Nd: 0.293 0.845 0.609
Nd: 0.356 0.191 0.005
Nd: 0.356 0.309 0.505
Nd: 0.644 0.691 0.495
Nd: 0.644 0.809 0.995
Nd: 0.707 0.155 0.391
Nd: 0.707 0.345 0.891
Nd: 0.947 0.501 0.284
Nd: 0.947 0.999 0.784
Ir: 0.055 0.184 0.519
Ir: 0.055 0.316 0.019
Ir: 0.945 0.684 0.981
Ir: 0.945 0.816 0.481
Rh: 0.406 0.536 0.815
Rh: 0.406 0.964 0.315
Rh: 0.594 0.036 0.685
Rh: 0.594 0.464 0.185

E_form in meV per atom: -600
Energy above the lowest structure with this stoichiometry in meV/atom: 0

no.,calculated density (g/cm3)
1,8.89
2,15.07
3,12.93
4,13.03
5,11.47
6,12.16
7,12.04
8,5.19
9,8.28
10,8.71
11,9.59
12,8.34
13,11.11
14,12.02
15,10.10
16,8.84
17,14.93
18,8.17
19,13.45
20,10.73
21,9.04